[1]
# NaNi3Pd

NaNi3Pd at its PBEsol-relaxed geometry (SCAN, Alexandria via LeMat-Bulk).

Calculated values
- DOS(E_F) (states/eV/cell) = 2.15
- size of the total moment (μB per formula unit) = 2.544
- energy of formation from the pure elements (eV per atom) = 1.63

Cell lengths 4.1769, 4.1769, 4.1769 Å; angles 90.00, 90.00, 90.00 degrees
Space group Pm-3m (No. 221)
Unique sites:
1 Na 0.0000 0.0000 0.0000 [1 per cell]
2 Ni 0.0000 0.0000 0.5000 [3 per cell]
3 Pd 0.5000 0.5000 0.5000 [1 per cell]


[2]
# MoAs2POs

MoAs2POs at its PBEsol-relaxed geometry (SCAN, Alexandria via LeMat-Bulk).

Calculated values
- DOS(E_F) (states/eV/cell) = 4.00
- size of the total moment (μB per formula unit) = 2.550
- energy of formation from the pure elements (eV per atom) = 1.13

Cell lengths 4.8202, 4.8202, 4.3746 Å; angles 90.00, 90.00, 90.00 degrees
Space group P4/mmm (No. 123)
Unique sites:
1 Mo 0.0000 0.0000 0.0000 [1 per cell]
2 As 0.0000 0.5000 0.5000 [2 per cell]
3 P 0.5000 0.5000 0.0000 [1 per cell]
4 Os 0.5000 0.5000 0.5000 [1 per cell]


[3]
# GdZn2Ga2

GdZn2Ga2 at its PBEsol-relaxed geometry (SCAN, Alexandria via LeMat-Bulk).

Calculated values
- DOS(E_F) (states/eV/cell) = 2.32
- size of the total moment (μB per formula unit) = 7.181
- energy of formation from the pure elements (eV per atom) = -0.51

Cell lengths 4.0906, 4.0906, 10.5978 Å; angles 90.00, 90.00, 90.00 degrees
Space group I4/mmm (No. 139)
Unique sites:
1 Gd 0.0000 0.0000 0.0000 [2 per cell]
2 Zn 0.0000 0.0000 0.3891 [4 per cell]
3 Ga 0.0000 0.5000 0.2500 [4 per cell]


[4]
# Tl2ZnPt

Tl2ZnPt at its PBEsol-relaxed geometry (SCAN, Alexandria via LeMat-Bulk).

Calculated values
- DOS(E_F) (states/eV/cell) = 5.25
- size of the total moment (μB per formula unit) = 0.000
- relative energy among the computed polymorphs (eV/atom) = 0.013
- energy of formation from the pure elements (eV per atom) = 0.08

Cell lengths 3.2049, 3.2049, 27.8596 Å; angles 90.00, 90.00, 120.00 degrees
Space group R3m (No. 160, hexagonal axes)
Unique sites:
1 Tl 0.0000 0.0000 0.0000 [3 per cell]
2 Tl 0.0000 0.0000 0.2284 [3 per cell]
3 Zn 0.0000 0.0000 0.7525 [3 per cell]
4 Pt 0.0000 0.0000 0.4814 [3 per cell]